A plane-wave DFT calculation with PBE with a Hubbard U was carried out for a relaxed LiMoO2 crystal.

a = 5.5680 Å, b = 5.6382 Å, c = 6.9193 Å
α = 104.15°, β = 103.73°, γ = 113.89°
Last column: nearest neighbours and their distance in Å.
Fractional positions:
O  0.0431  0.8284  0.1240  3 Mo 2.16-2.18, 2 Li 2.23-2.26
Li  0.4447  0.1947  0.3894  4 O 2.14-2.26
O  0.5809  0.2956  0.1240  3 Mo 2.16-2.18, 2 Li 2.23-2.26
O  0.8325  0.5515  0.6251  2 Li 2.14-2.15, 3 Mo 2.19-2.20
Mo  0.8096  0.0596  0.1192  6 O 2.16-2.19
Mo  0.0657  0.3157  0.6314  6 O 2.16-2.20
O  0.2926  0.0736  0.6251  2 Li 2.14, 3 Mo 2.19-2.20
O  0.7074  0.9264  0.3749  2 Li 2.14, 3 Mo 2.19-2.20
Li  0.6811  0.4311  0.8622  4 O 2.14-2.23
Li  0.3189  0.5689  0.1378  4 O 2.14-2.23
O  0.4191  0.7044  0.8760  3 Mo 2.16-2.18, 2 Li 2.23-2.26
O  0.9569  0.1716  0.8760  3 Mo 2.16-2.18, 2 Li 2.23-2.26
Mo  0.1904  0.9404  0.8808  6 O 2.16-2.19
Li  0.5553  0.8053  0.6106  4 O 2.14-2.26
Mo  0.9343  0.6843  0.3686  6 O 2.16-2.20
O  0.1675  0.4485  0.3749  2 Li 2.14-2.15, 3 Mo 2.19-2.20

distance to the lowest polymorph of the same formula: 0.0000 eV/atom
space-group type: No. 15
electronic total energy: -6.48 eV per atom
DOS(E_F): 0.00 states/eV/f.u.